DFT (PBE) results for CeGa4Pd6 after structural relaxation.

abc: 7.3808 7.3808 3.9346
angles: 90.00 90.00 120.00
Space group P-6m2 (No. 187)
One atom of each set of equivalent atoms:
Ce (0.0000, 0.0000, 0.0000) [1 per cell]
Ga (0.1999, 0.3998, 0.5000) [3 per cell]
Ga (0.6667, 0.3333, 0.0000) [1 per cell]
Pd (0.0668, 0.5334, 0.0000) [3 per cell]
Pd (0.3961, 0.1981, 0.5000) [3 per cell]

energy of formation from the pure elements = -8.07 eV per formula unit
E_tot = -5.206 eV/atom
size of the total moment = 0.78 μB per cell
calculated density = 9460 kg/m³

=====

DFT (PBE) results for CaZnP2Pd after structural relaxation.

abc: 4.6338 4.6338 5.4580
angles: 90.00 90.00 90.00
Space group P4/mmm (No. 123)
One atom of each set of equivalent atoms:
Ca (0.0000, 0.0000, 0.0000) [1 per cell]
Zn (0.5000, 0.5000, 0.0000) [1 per cell]
P (0.0000, 0.5000, 0.5000) [2 per cell]
Pd (0.0000, 0.0000, 0.5000) [1 per cell]

energy of formation from the pure elements = 0.79 eV per formula unit
E_tot = -3.700 eV/atom
size of the total moment = 0.00 μB per cell
calculated density = 3880 kg/m³

=====

DFT (PBE) results for Tb2CePm3Y6 after structural relaxation.

abc: 6.2283 10.7843 11.8480
angles: 90.00 100.07 90.00
Space group C2/m (No. 12)
One atom of each set of equivalent atoms:
Tb (0.0000, 0.1666, 0.0000) [4 per cell]
Ce (0.0000, 0.5000, 0.0000) [2 per cell]
Pm (0.0000, 0.0000, 0.5000) [2 per cell]
Pm (0.0000, 0.3325, 0.5000) [4 per cell]
Y (0.2482, 0.3344, 0.2476) [8 per cell]
Y (0.2487, 0.5000, 0.7523) [4 per cell]

energy of formation from the pure elements = 0.40 eV per formula unit
E_tot = -5.653 eV/atom
size of the total moment = 2.35 μB per cell
calculated density = 6046 kg/m³

=====

DFT (PBE) results for CaMgBe after structural relaxation.

abc: 4.4162 15.9253 4.1112
angles: 90.00 90.00 90.00
Space group Cmcm (No. 63)
One atom of each set of equivalent atoms:
Ca (0.0000, 0.1738, 0.2500) [4 per cell]
Mg (0.0000, 0.4291, 0.2500) [4 per cell]
Be (0.0000, 0.0000, 0.0000) [4 per cell]

energy of formation from the pure elements = 0.44 eV per formula unit
E_tot = -2.295 eV/atom
size of the total moment = 0.00 μB per cell
calculated density = 1686 kg/m³

=====

DFT (PBE) results for Cs2Cu2RhS4 after structural relaxation.

abc: 14.3902 3.8752 7.7265
angles: 90.00 108.00 90.00
Space group C2/m (No. 12)
One atom of each set of equivalent atoms:
Cs (0.1339, 0.0000, 0.0597) [4 per cell]
Cu (0.1915, 0.5000, 0.4929) [4 per cell]
Rh (0.0000, 0.0000, 0.5000) [2 per cell]
S (0.0235, 0.5000, 0.3174) [4 per cell]
S (0.1766, 0.0000, 0.6421) [4 per cell]

E_tot = -4.323 eV/atom
E_form (uncorrected) = -572.1 meV/atom
size of the total moment = 0.00 μB per cell
calculated density = 5058 kg/m³

=====

DFT (PBE) results for Sr2TeCl after structural relaxation.

abc: 8.2656 8.7562 4.2026
angles: 90.00 111.67 90.00
Space group C2/m (No. 12)
One atom of each set of equivalent atoms:
Sr (0.2500, 0.2500, 0.0000) [4 per cell]
Te (0.0000, 0.0000, 0.5000) [2 per cell]
Cl (0.0000, 0.5000, 0.5000) [2 per cell]

E_tot = -3.536 eV/atom
E_form (uncorrected) = -1448.1 meV/atom
size of the total moment = 0.01 μB per cell
calculated density = 3975 kg/m³

=====

DFT (PBE) results for NaSrPt3 after structural relaxation.

abc: 4.8204 4.8204 4.8204
angles: 90.00 90.00 90.00
Space group Pm-3m (No. 221)
One atom of each set of equivalent atoms:
Na (0.0000, 0.0000, 0.0000) [1 per cell]
Sr (0.5000, 0.5000, 0.5000) [1 per cell]
Pt (0.0000, 0.0000, 0.5000) [3 per cell]

energy of formation from the pure elements = 2.37 eV per formula unit
E_tot = -3.750 eV/atom
size of the total moment = 0.00 μB per cell
calculated density = 10316 kg/m³

=====

DFT (PBE) results for UAl11Rh after structural relaxation.

abc: 5.1968 12.5647 7.1112
angles: 90.00 109.92 90.00
Space group C2/m (No. 12)
One atom of each set of equivalent atoms:
U (0.0000, 0.0000, 0.0000) [2 per cell]
Al (0.0000, 0.0000, 0.5000) [2 per cell]
Al (0.1067, 0.3935, 0.2202) [8 per cell]
Al (0.1828, 0.1743, 0.3558) [8 per cell]
Al (0.2500, 0.2500, 0.0000) [4 per cell]
Rh (0.0000, 0.5000, 0.5000) [2 per cell]

energy of formation from the pure elements = -2.80 eV per formula unit
E_tot = -4.816 eV/atom
size of the total moment = 5.56 μB per cell
calculated density = 4851 kg/m³